! PBE Zr2ScTc, optimized geometry; values from VASP
&SYSTEM
  ibrav = 0, nat = 4, ntyp = 3
/
ATOMIC_SPECIES
Zr 91.22 Zr.upf
Sc 44.96 Sc.upf
Tc 98.00 Tc.upf
CELL_PARAMETERS angstrom
0.000 3.411 3.411
3.411 0.000 3.411
3.411 3.411 0.000
ATOMIC_POSITIONS crystal
Zr 0.250 0.250 0.250
Zr 0.750 0.750 0.750
Sc 0.000 0.000 0.000
Tc 0.500 0.500 0.500
! M_tot: 0.00 μB per cell
! energy relative to the elements: -76.2 meV per atom
! space-group type: Fm-3m
! offset from the most stable computed form: 0.128 eV per atom



! PBE Zr2ScTc, optimized geometry; values from VASP
&SYSTEM
  ibrav = 0, nat = 4, ntyp = 3
/
ATOMIC_SPECIES
Zr 91.22 Zr.upf
Sc 44.96 Sc.upf
Tc 98.00 Tc.upf
CELL_PARAMETERS angstrom
1.598 0.923 9.439
-1.598 0.923 9.439
0.000 -1.845 9.439
ATOMIC_POSITIONS crystal
Zr 0.000 0.000 0.000
Zr 0.242 0.242 0.242
Sc 0.476 0.476 0.476
Tc 0.738 0.738 0.738
! M_tot: 0.00 μB per cell
! energy relative to the elements: 4.0 meV per atom
! space-group type: R3m
! offset from the most stable computed form: 0.209 eV per atom



! PBE Zr2ScTc, optimized geometry; values from VASP
&SYSTEM
  ibrav = 0, nat = 4, ntyp = 3
/
ATOMIC_SPECIES
Zr 91.22 Zr.upf
Sc 44.96 Sc.upf
Tc 98.00 Tc.upf
CELL_PARAMETERS angstrom
1.762 -2.589 0.000
1.762 2.589 0.000
0.000 0.000 9.311
ATOMIC_POSITIONS crystal
Zr 0.000 0.000 0.212
Zr 0.000 0.000 0.788
Sc 0.500 0.500 0.500
Tc 0.500 0.500 0.000
! M_tot: 0.00 μB per cell
! energy relative to the elements: -36.5 meV per atom
! space-group type: Cmmm
! offset from the most stable computed form: 0.168 eV per atom



! PBE Zr2Sc2Tc, optimized geometry; values from VASP
&SYSTEM
  ibrav = 0, nat = 10, ntyp = 3
/
ATOMIC_SPECIES
Zr 91.22 Zr.upf
Sc 44.96 Sc.upf
Tc 98.00 Tc.upf
CELL_PARAMETERS angstrom
3.246 -4.515 0.000
3.246 4.515 0.000
-3.244 0.000 7.382
ATOMIC_POSITIONS crystal
Zr 0.199 0.199 0.000
Zr 0.210 0.210 0.420
Zr 0.790 0.790 0.580
Zr 0.801 0.801 0.000
Sc 0.189 0.599 0.788
Sc 0.401 0.811 0.212
Sc 0.599 0.189 0.788
Sc 0.811 0.401 0.212
Tc 0.250 0.750 0.500
Tc 0.750 0.250 0.500
! M_tot: 0.00 μB per cell
! energy relative to the elements: -82.6 meV per atom
! space-group type: C2/m
! offset from the most stable computed form: 0.000 eV per atom